VASP calculation (PBE-GGA) on a geometry-optimized Sm8As3S3N structure.

Cell lengths 8.1160, 8.1160, 19.9362 Å; angles 90.00, 90.00, 120.00 degrees
Space group R-3m (No. 166, hexagonal axes)
Symmetry-distinct sites (fractional):
1 Sm 0.0000 0.0000 0.2488 (multiplicity 6)
2 Sm 0.0322 0.5161 0.2404 (multiplicity 18)
3 As 0.0000 0.5000 0.0000 (multiplicity 9)
4 S 0.0000 0.5000 0.5000 (multiplicity 9)
5 N 0.0000 0.0000 0.5000 (multiplicity 3)

Computed properties:
The calculation puts the total energy at -6.40 eV per atom. The formation energy from raw total energies comes out at -1.576 eV per atom.